Below is a relaxed TlNiTeCl6 crystal, with properties calculated at the PBE level.

Output
The formation energy from raw total energies is -56.52 kJ/mol of atoms. Its energy is -27.64 eV/cell. The density comes out at 3592 kg/m³. As for the space group: C2, No. 5. As for the density of states at the Fermi level: 0.587 states/eV/cell.

Unit cell a=6.6803 b=6.6803 c=6.9062 alpha=91.66 beta=91.66 gamma=114.98
Sites, in units of the cell vectors:
Tl  0.0000  0.0000  0.0000
Ni  0.3167  0.6833  0.5000
Te  0.6580  0.3420  0.5000
Cl  0.0122  0.3998  0.6902
Cl  0.0288  0.6712  0.2932
Cl  0.3288  0.9712  0.7068
Cl  0.3491  0.3967  0.2962
Cl  0.6002  0.9878  0.3098
Cl  0.6033  0.6509  0.7038